# Tm5In2NiRu2 | Alexandria | PBE-GGA | relaxed
# Formation enthalpy at 0 K = -0.37 eV per atom
data_Tm5In2NiRu2
_chemical_formula_sum 'Tm10 In4 Ni2 Ru4'
_cell_length_a 11.546
_cell_length_b 11.546
_cell_length_c 3.411
_cell_angle_alpha 90.00
_cell_angle_beta 90.00
_cell_angle_gamma 90.00
_symmetry_space_group_name_H-M 'P 4/m b m'
_symmetry_Int_Tables_number 127
_symmetry_space_group_name_Hall '-P 4 2ab'
loop_
_atom_site_label
_atom_site_fract_x
_atom_site_fract_y
_atom_site_fract_z
Tm1 0.000 0.500 0.000
Tm2 0.063 0.196 0.000
In1 0.180 0.680 0.500
Ni1 0.000 0.000 0.500
Ru1 0.137 0.363 0.500


# Pa2ClO6 | Alexandria | PBE-GGA | relaxed
# ΔE_f (raw) = -2565.4 meV per atom
data_Pa2ClO6
_chemical_formula_sum 'Pa2 Cl1 O6'
_cell_length_a 4.020
_cell_length_b 5.332
_cell_length_c 7.460
_cell_angle_alpha 89.91
_cell_angle_beta 77.09
_cell_angle_gamma 74.72
_symmetry_space_group_name_H-M 'P 1'
_symmetry_Int_Tables_number 1
loop_
_symmetry_equiv_pos_as_xyz
'x,y,z'
loop_
_atom_site_label
_atom_site_fract_x
_atom_site_fract_y
_atom_site_fract_z
Pa1 0.000 0.000 0.000
Pa2 0.333 0.551 0.422
Cl1 0.128 0.097 0.587
O1 0.207 0.612 0.787
O2 0.256 0.768 0.193
O3 0.510 0.070 0.928
O4 0.706 0.262 0.230
O5 0.779 0.635 0.482
O6 0.978 0.545 0.925


# Ho3ErRu3 | Alexandria | PBE-GGA | relaxed
# Formation enthalpy at 0 K = -0.37 eV per atom
# Distance to the lowest polymorph of the same formula = 0.165 eV per formula unit
data_Ho3ErRu3
_chemical_formula_sum 'Ho12 Er4 Ru12'
_cell_length_a 9.574
_cell_length_b 9.613
_cell_length_c 6.705
_cell_angle_alpha 90.00
_cell_angle_beta 90.00
_cell_angle_gamma 90.00
_symmetry_space_group_name_H-M 'C m m m'
_symmetry_Int_Tables_number 65
_symmetry_space_group_name_Hall '-C 2 2'
loop_
_atom_site_label
_atom_site_fract_x
_atom_site_fract_y
_atom_site_fract_z
Ho1 0.000 0.246 0.000
Ho2 0.246 0.000 0.000
Ho3 0.248 0.000 0.500
Er1 0.000 0.244 0.500
Ru1 0.000 0.000 0.250
Ru2 0.250 0.250 0.250


# BaIn3Pb2S8 | Alexandria | PBE-GGA | relaxed
# ΔE_f (raw) = -633.8 meV per atom
data_BaIn3Pb2S8
_chemical_formula_sum 'Ba3 In9 Pb6 S24'
_cell_length_a 8.0193
_cell_length_b 8.0193
_cell_length_c 21.5601
_cell_angle_alpha 90.00
_cell_angle_beta 90.00
_cell_angle_gamma 120.00
_symmetry_space_group_name_H-M 'R 3 m'
_symmetry_Int_Tables_number 160
_symmetry_space_group_name_Hall 'R 3 -2"'
loop_
_atom_site_label
_atom_site_fract_x
_atom_site_fract_y
_atom_site_fract_z
Ba1 0.0000 0.0000 0.0000
In1 0.1680 0.3361 0.4677
Pb1 0.0000 0.0000 0.2547
Pb2 0.0000 0.0000 0.6445
S1 0.0000 0.0000 0.4049
S2 0.0000 0.0000 0.8629
S3 0.0340 0.5170 0.3999
S4 0.1806 0.3612 0.2060


# Sr2PtPbN | Alexandria | PBE-GGA | relaxed
# ΔE_f (raw) = -533.0 meV per atom
data_Sr2PtPbN
_chemical_formula_sum 'Sr2 Pt1 Pb1 N1'
_cell_length_a 5.775
_cell_length_b 5.775
_cell_length_c 3.814
_cell_angle_alpha 90.00
_cell_angle_beta 90.00
_cell_angle_gamma 90.00
_symmetry_space_group_name_H-M 'P 4/m m m'
_symmetry_Int_Tables_number 123
_symmetry_space_group_name_Hall '-P 4 2'
loop_
_atom_site_label
_atom_site_fract_x
_atom_site_fract_y
_atom_site_fract_z
Sr1 0.000 0.500 0.000
Pt1 0.000 0.000 0.500
Pb1 0.500 0.500 0.500
N1 0.000 0.000 0.000


# ZrTaCu3 | Alexandria | PBE-GGA | relaxed
# Formation enthalpy at 0 K = 1.14 eV per atom
# Distance to the lowest polymorph of the same formula = 0.000 eV per formula unit
data_ZrTaCu3
_chemical_formula_sum 'Zr1 Ta1 Cu3'
_cell_length_a 4.631
_cell_length_b 4.631
_cell_length_c 4.631
_cell_angle_alpha 90.00
_cell_angle_beta 90.00
_cell_angle_gamma 90.00
_symmetry_space_group_name_H-M 'P m -3 m'
_symmetry_Int_Tables_number 221
_symmetry_space_group_name_Hall '-P 4 2 3'
loop_
_atom_site_label
_atom_site_fract_x
_atom_site_fract_y
_atom_site_fract_z
Zr1 0.000 0.000 0.000
Ta1 0.500 0.500 0.500
Cu1 0.000 0.500 0.500


# Ce2Y3TmSe6 | Alexandria | PBE-GGA | relaxed
# ΔE_f (raw) = -1772.8 meV per atom
data_Ce2Y3TmSe6
_chemical_formula_sum 'Ce4 Y6 Tm2 Se12'
_cell_length_a 17.953
_cell_length_b 4.091
_cell_length_c 8.287
_cell_angle_alpha 90.00
_cell_angle_beta 103.64
_cell_angle_gamma 90.00
_symmetry_space_group_name_H-M 'C 1 2/m 1'
_symmetry_Int_Tables_number 12
loop_
_symmetry_equiv_pos_as_xyz
'x,y,z'
'-x,-y,-z'
'-x,y,-z'
'x,-y,z'
'x+1/2,y+1/2,z'
'-x+1/2,-y+1/2,-z'
'-x+1/2,y+1/2,-z'
'x+1/2,-y+1/2,z'
loop_
_atom_site_label
_atom_site_fract_x
_atom_site_fract_y
_atom_site_fract_z
Ce1 0.168 0.000 0.337
Y1 0.000 0.500 0.500
Y2 0.169 0.000 0.833
Tm1 0.000 0.500 0.000
Se1 0.003 0.000 0.757
Se2 0.163 0.500 0.590
Se3 0.164 0.500 0.075


# Mg12Bi3H5 | Alexandria | PBE-GGA | relaxed
# Energy = -375.7 eV for the cell shown
data_Mg12Bi3H5
_chemical_formula_sum 'Mg96 Bi24 H40'
_cell_length_a 14.706
_cell_length_b 14.706
_cell_length_c 14.706
_cell_angle_alpha 90.00
_cell_angle_beta 90.00
_cell_angle_gamma 90.00
_symmetry_space_group_name_H-M 'I a -3 d'
_symmetry_Int_Tables_number 230
_symmetry_space_group_name_Hall '-I 4bd 2c 3'
loop_
_atom_site_label
_atom_site_fract_x
_atom_site_fract_y
_atom_site_fract_z
Mg1 0.046 0.144 0.951
Bi1 0.000 0.250 0.125
H1 0.000 0.000 0.000
H2 0.000 0.250 0.375


# Li3TeF9 | Alexandria | PBE-GGA | relaxed
# ΔE_f (raw) = -2254.8 meV per atom
data_Li3TeF9
_chemical_formula_sum 'Li12 Te4 F36'
_cell_length_a 15.327
_cell_length_b 7.532
_cell_length_c 9.591
_cell_angle_alpha 90.00
_cell_angle_beta 127.51
_cell_angle_gamma 90.00
_symmetry_space_group_name_H-M 'C 1 c 1'
_symmetry_Int_Tables_number 9
loop_
_symmetry_equiv_pos_as_xyz
'x,y,z'
'x,-y,z+1/2'
'x+1/2,y+1/2,z'
'x+1/2,-y+1/2,z+1/2'
loop_
_atom_site_label
_atom_site_fract_x
_atom_site_fract_y
_atom_site_fract_z
Li1 0.000 0.043 0.000
Li2 0.092 0.355 0.920
Li3 0.409 0.146 0.581
Te1 0.250 0.249 0.751
F1 0.001 0.500 0.250
F2 0.101 0.137 0.990
F3 0.104 0.189 0.648
F4 0.204 0.477 0.655
F5 0.236 0.177 0.552
F6 0.265 0.321 0.950
F7 0.297 0.021 0.846
F8 0.396 0.309 0.853
F9 0.399 0.364 0.511


# SrCd2Pt | Alexandria | PBE-GGA | relaxed
# Formation enthalpy at 0 K = -0.30 eV per atom
data_SrCd2Pt
_chemical_formula_sum 'Sr1 Cd2 Pt1'
_cell_length_a 4.334
_cell_length_b 4.361
_cell_length_c 5.101
_cell_angle_alpha 90.00
_cell_angle_beta 90.00
_cell_angle_gamma 90.00
_symmetry_space_group_name_H-M 'P m m m'
_symmetry_Int_Tables_number 47
loop_
_symmetry_equiv_pos_as_xyz
'x,y,z'
'-x,-y,-z'
'-x,-y,z'
'x,y,-z'
'x,-y,-z'
'-x,y,z'
'-x,y,-z'
'x,-y,z'
loop_
_atom_site_label
_atom_site_fract_x
_atom_site_fract_y
_atom_site_fract_z
Sr1 0.000 0.000 0.000
Cd1 0.000 0.500 0.500
Cd2 0.500 0.000 0.500
Pt1 0.500 0.500 0.000


# SiMoRu2 | Alexandria | PBE-GGA | relaxed
# ΔE_f (raw) = 39.8 meV per atom
data_SiMoRu2
_chemical_formula_sum 'Si2 Mo2 Ru4'
_cell_length_a 3.026
_cell_length_b 4.613
_cell_length_c 8.174
_cell_angle_alpha 90.00
_cell_angle_beta 90.00
_cell_angle_gamma 90.00
_symmetry_space_group_name_H-M 'C m m m'
_symmetry_Int_Tables_number 65
_symmetry_space_group_name_Hall '-C 2 2'
loop_
_atom_site_label
_atom_site_fract_x
_atom_site_fract_y
_atom_site_fract_z
Si1 0.000 0.000 0.000
Mo1 0.000 0.000 0.500
Ru1 0.000 0.500 0.227


# EuSbPd2 | Alexandria | PBE-GGA | relaxed
# ΔE_f (raw) = -740.6 meV per atom
data_EuSbPd2
_chemical_formula_sum 'Eu3 Sb3 Pd6'
_cell_length_a 4.6265
_cell_length_b 4.6265
_cell_length_c 14.9118
_cell_angle_alpha 90.00
_cell_angle_beta 90.00
_cell_angle_gamma 120.00
_symmetry_space_group_name_H-M 'R -3 m'
_symmetry_Int_Tables_number 166
_symmetry_space_group_name_Hall '-R 3 2"'
loop_
_atom_site_label
_atom_site_fract_x
_atom_site_fract_y
_atom_site_fract_z
Eu1 0.0000 0.0000 0.0000
Sb1 0.0000 0.0000 0.5000
Pd1 0.0000 0.0000 0.2048


# ZrCo2Se | Alexandria | PBE-GGA | relaxed
# ΔE_f (raw) = -173.4 meV per atom
data_ZrCo2Se
_chemical_formula_sum 'Zr1 Co2 Se1'
_cell_length_a 3.336
_cell_length_b 3.336
_cell_length_c 5.433
_cell_angle_alpha 90.00
_cell_angle_beta 90.00
_cell_angle_gamma 90.00
_symmetry_space_group_name_H-M 'P 4/m m m'
_symmetry_Int_Tables_number 123
_symmetry_space_group_name_Hall '-P 4 2'
loop_
_atom_site_label
_atom_site_fract_x
_atom_site_fract_y
_atom_site_fract_z
Zr1 0.000 0.000 0.000
Co1 0.500 0.500 0.256
Se1 0.000 0.000 0.500


# Tl12S5Cl | Alexandria | PBE-GGA | relaxed
# ΔE_f (raw) = -364.6 meV per atom
data_Tl12S5Cl
_chemical_formula_sum 'Tl24 S10 Cl2'
_cell_length_a 7.332
_cell_length_b 12.560
_cell_length_c 12.844
_cell_angle_alpha 90.00
_cell_angle_beta 101.41
_cell_angle_gamma 90.00
_symmetry_space_group_name_H-M 'C 1 2/m 1'
_symmetry_Int_Tables_number 12
loop_
_symmetry_equiv_pos_as_xyz
'x,y,z'
'-x,-y,-z'
'-x,y,-z'
'x,-y,z'
'x+1/2,y+1/2,z'
'-x+1/2,-y+1/2,-z'
'-x+1/2,y+1/2,-z'
'x+1/2,-y+1/2,z'
loop_
_atom_site_label
_atom_site_fract_x
_atom_site_fract_y
_atom_site_fract_z
Tl1 0.097 0.000 0.358
Tl2 0.130 0.322 0.358
Tl3 0.212 0.500 0.132
Tl4 0.214 0.166 0.132
S1 0.000 0.000 0.000
S2 0.000 0.167 0.500
S3 0.000 0.334 0.000
Cl1 0.000 0.500 0.500


# InSbWI2 | Alexandria | PBE-GGA | relaxed
# Distance to the lowest polymorph of the same formula = 0.000 eV per formula unit
# ΔE_f (raw) = 535.4 meV per atom
data_InSbWI2
_chemical_formula_sum 'In1 Sb1 W1 I2'
_cell_length_a 5.785
_cell_length_b 5.785
_cell_length_c 5.247
_cell_angle_alpha 90.00
_cell_angle_beta 90.00
_cell_angle_gamma 90.00
_symmetry_space_group_name_H-M 'P 4/m m m'
_symmetry_Int_Tables_number 123
_symmetry_space_group_name_Hall '-P 4 2'
loop_
_atom_site_label
_atom_site_fract_x
_atom_site_fract_y
_atom_site_fract_z
In1 0.000 0.000 0.000
Sb1 0.500 0.500 0.000
W1 0.500 0.500 0.500
I1 0.000 0.500 0.500


# Cs2HgSCl6 | Alexandria | PBE-GGA | relaxed
# ΔE_f (raw) = -1009.6 meV per atom
data_Cs2HgSCl6
_chemical_formula_sum 'Cs4 Hg2 S2 Cl12'
_cell_length_a 7.625
_cell_length_b 7.625
_cell_length_c 11.270
_cell_angle_alpha 90.00
_cell_angle_beta 90.00
_cell_angle_gamma 90.00
_symmetry_space_group_name_H-M 'I 4/m m m'
_symmetry_Int_Tables_number 139
_symmetry_space_group_name_Hall '-I 4 2'
loop_
_atom_site_label
_atom_site_fract_x
_atom_site_fract_y
_atom_site_fract_z
Cs1 0.000 0.500 0.250
Hg1 0.000 0.000 0.000
S1 0.000 0.000 0.500
Cl1 0.000 0.000 0.210
Cl2 0.219 0.219 0.500


# SrNd2Pa3N8 | Alexandria | PBE-GGA | relaxed
# ΔE_f (raw) = -1395.3 meV per atom
data_SrNd2Pa3N8
_chemical_formula_sum 'Sr3 Nd6 Pa9 N24'
_cell_length_a 7.1345
_cell_length_b 7.1345
_cell_length_c 17.3802
_cell_angle_alpha 90.00
_cell_angle_beta 90.00
_cell_angle_gamma 120.00
_symmetry_space_group_name_H-M 'R 3 m'
_symmetry_Int_Tables_number 160
_symmetry_space_group_name_Hall 'R 3 -2"'
loop_
_atom_site_label
_atom_site_fract_x
_atom_site_fract_y
_atom_site_fract_z
Sr1 0.0000 0.0000 0.0000
Nd1 0.0000 0.0000 0.2416
Nd2 0.0000 0.0000 0.6216
Pa1 0.1682 0.3365 0.4541
N1 0.0000 0.0000 0.3868
N2 0.0000 0.0000 0.8496
N3 0.0504 0.5252 0.3866
N4 0.1832 0.3665 0.1909


# CaHgW2 | Alexandria | PBE-GGA | relaxed
# Formation enthalpy at 0 K = 0.76 eV per atom
data_CaHgW2
_chemical_formula_sum 'Ca2 Hg2 W4'
_cell_length_a 3.126
_cell_length_b 4.749
_cell_length_c 10.637
_cell_angle_alpha 90.00
_cell_angle_beta 90.00
_cell_angle_gamma 90.00
_symmetry_space_group_name_H-M 'I m m m'
_symmetry_Int_Tables_number 71
_symmetry_space_group_name_Hall '-I 2 2'
loop_
_atom_site_label
_atom_site_fract_x
_atom_site_fract_y
_atom_site_fract_z
Ca1 0.000 0.000 0.000
Hg1 0.000 0.000 0.500
W1 0.000 0.500 0.235


# CaMnCuSi | Alexandria | PBE-GGA | relaxed
# Distance to the lowest polymorph of the same formula = 0.217 eV per formula unit
# ΔE_f (raw) = -98.8 meV per atom
data_CaMnCuSi
_chemical_formula_sum 'Ca3 Mn3 Cu3 Si3'
_cell_length_a 4.1351
_cell_length_b 4.1351
_cell_length_c 15.9276
_cell_angle_alpha 90.00
_cell_angle_beta 90.00
_cell_angle_gamma 120.00
_symmetry_space_group_name_H-M 'R 3 m'
_symmetry_Int_Tables_number 160
_symmetry_space_group_name_Hall 'R 3 -2"'
loop_
_atom_site_label
_atom_site_fract_x
_atom_site_fract_y
_atom_site_fract_z
Ca1 0.0000 0.0000 0.0000
Mn1 0.0000 0.0000 0.1940
Cu1 0.0000 0.0000 0.4743
Si1 0.0000 0.0000 0.8060